# 1
VASP calculation (GGA-PBE) on a relaxed SrLiAu4 crystal.

Summary:
Total moment ... 0.0 μB per formula unit
Offset from the most stable computed form ... 157.3 meV/atom
V ... 23.0 A^3/atom
DOS(E_F) ... 0.26 states/eV/atom
Calculated density ... 10.6 Mg/m³
Energy relative to the elements ... -349 meV/atom

Cell lengths 9.8766, 9.8766, 11.3289 Å; angles 90.00, 90.00, 90.00 degrees
Space group I4/mmm (No. 139)
Unique sites:
Sr 0.0000 0.0000 0.1429 [4 per cell]
Sr 0.0000 0.5000 0.2500 [4 per cell]
Li 0.0000 0.1860 0.5000 [8 per cell]
Au 0.1306 0.3233 0.0000 [16 per cell]
Au 0.1642 0.1642 0.3177 [16 per cell]

# 2
VASP calculation (GGA-PBE) on a relaxed AcHfRuO6 crystal.

Summary:
Electronic total energy ... -8.231 eV per atom
Total moment ... 3.0 μB per formula unit
V ... 14.2 A^3/atom
DOS(E_F) ... 0.06 states/eV/atom
Calculated density ... 7.8 Mg/m³

Cell lengths 5.0455, 5.0455, 10.0605 Å; angles 90.00, 90.00, 90.00 degrees
Space group P4_2nm (No. 102)
Unique sites:
Ac 0.0000 0.0000 0.0000 [2 per cell]
Hf 0.0000 0.0000 0.6637 [2 per cell]
Ru 0.0000 0.0000 0.3288 [2 per cell]
O 0.1664 0.1664 0.4891 [4 per cell]
O 0.2098 0.2098 0.1950 [4 per cell]
O 0.2233 0.2233 0.8029 [4 per cell]

# 3
VASP calculation (GGA-PBE) on a relaxed Cd2AgSe crystal.

Summary:
Electronic total energy ... -2.094 eV per atom
Total moment ... 0.0 μB per formula unit
V ... 22.2 A^3/atom
DOS(E_F) ... 0.21 states/eV/atom
Calculated density ... 7.7 Mg/m³

Cell lengths 3.8821, 3.8821, 5.8809 Å; angles 90.00, 90.00, 90.00 degrees
Space group P4mm (No. 99)
Unique sites:
Cd 0.0000 0.0000 0.0000 [1 per cell]
Cd 0.5000 0.5000 0.3146 [1 per cell]
Ag 0.5000 0.5000 0.8301 [1 per cell]
Se 0.0000 0.0000 0.4982 [1 per cell]

# 4
VASP calculation (GGA-PBE) on a relaxed Tb5Pr6Ho crystal.

Summary:
Total moment ... 0.0 μB per formula unit
Offset from the most stable computed form ... 4.8 meV/atom
V ... 33.9 A^3/atom
DOS(E_F) ... 1.34 states/eV/atom
Calculated density ... 7.4 Mg/m³
Energy relative to the elements ... 15 meV/atom

Cell lengths 5.1683, 10.1925, 15.4548 Å; angles 90.00, 90.00, 90.00 degrees
Space group Immm (No. 71)
Unique sites:
Tb 0.0000 0.0000 0.0000 [2 per cell]
Tb 0.0000 0.0000 0.3336 [4 per cell]
Tb 0.0000 0.5000 0.3333 [4 per cell]
Pr 0.0000 0.2503 0.1666 [8 per cell]
Pr 0.0000 0.2496 0.5000 [4 per cell]
Ho 0.0000 0.5000 0.0000 [2 per cell]

# 5
VASP calculation (GGA-PBE) on a relaxed HfThSc6 crystal.

Summary:
Total moment ... 0.0 μB per formula unit
Offset from the most stable computed form ... 0.0 meV/atom
V ... 24.9 A^3/atom
DOS(E_F) ... 1.64 states/eV/atom
Calculated density ... 5.7 Mg/m³
Energy relative to the elements ... 55 meV/atom

Cell lengths 4.6227, 4.6227, 9.3173 Å; angles 90.00, 90.00, 90.00 degrees
Space group P4/mmm (No. 123)
Unique sites:
Hf 0.0000 0.0000 0.0000 [1 per cell]
Th 0.0000 0.0000 0.5000 [1 per cell]
Sc 0.0000 0.5000 0.2393 [4 per cell]
Sc 0.5000 0.5000 0.0000 [1 per cell]
Sc 0.5000 0.5000 0.5000 [1 per cell]

# 6
VASP calculation (GGA-PBE) on a relaxed YTi2CrRe crystal.

Summary:
Total moment ... 0.0 μB per formula unit
V ... 19.3 A^3/atom
DOS(E_F) ... 1.41 states/eV/atom
Calculated density ... 7.3 Mg/m³
Energy relative to the elements ... 1006 meV/atom

Cell lengths 4.3652, 4.3652, 5.0648 Å; angles 90.00, 90.00, 90.00 degrees
Space group P4/mmm (No. 123)
Unique sites:
Y 0.0000 0.0000 0.0000 [1 per cell]
Ti 0.0000 0.5000 0.5000 [2 per cell]
Cr 0.0000 0.0000 0.5000 [1 per cell]
Re 0.5000 0.5000 0.0000 [1 per cell]

# 7
VASP calculation (GGA-PBE) on a relaxed Tl2CuRh2 crystal.

Summary:
Total moment ... 0.0 μB per formula unit
V ... 18.4 A^3/atom
DOS(E_F) ... 0.65 states/eV/atom
Calculated density ... 12.2 Mg/m³
Energy relative to the elements ... 106 meV/atom

Cell lengths 6.7351, 6.7351, 4.0648 Å; angles 90.00, 90.00, 90.00 degrees
Space group P4/mbm (No. 127)
Unique sites:
Tl 0.1676 0.3324 0.0000 [4 per cell]
Cu 0.0000 0.0000 0.5000 [2 per cell]
Rh 0.1409 0.6409 0.5000 [4 per cell]

# 8
VASP calculation (GGA-PBE) on a relaxed LaCeAg3 crystal.

Summary:
Total moment ... 1.3 μB per formula unit
V ... 25.5 A^3/atom
DOS(E_F) ... 1.72 states/eV/atom
Calculated density ... 7.9 Mg/m³
Energy relative to the elements ... -192 meV/atom

Cell lengths 3.6588, 29.0363, 4.7976 Å; angles 90.00, 90.00, 90.00 degrees
Space group Cmcm (No. 63)
Unique sites:
La 0.0000 0.0734 0.2500 [4 per cell]
Ce 0.0000 0.2108 0.7500 [4 per cell]
Ag 0.0000 0.3254 0.7500 [4 per cell]
Ag 0.0000 0.3792 0.2500 [4 per cell]
Ag 0.0000 0.4757 0.2500 [4 per cell]

# 9
VASP calculation (GGA-PBE) on a relaxed Li5In3 crystal.

Summary:
Total moment ... 0.0 μB per formula unit
Offset from the most stable computed form ... 0.0 meV/atom
V ... 18.7 A^3/atom
DOS(E_F) ... 0.28 states/eV/atom
Calculated density ... 4.2 Mg/m³
Energy relative to the elements ... -276 meV/atom

Cell lengths 6.9891, 9.2485, 4.6297 Å; angles 90.00, 90.00, 90.00 degrees
Space group Cmmm (No. 65)
Unique sites:
Li 0.0000 0.0000 0.0000 [2 per cell]
Li 0.2494 0.5000 0.5000 [4 per cell]
Li 0.2500 0.2500 0.0000 [4 per cell]
In 0.0000 0.2458 0.5000 [4 per cell]
In 0.0000 0.5000 0.0000 [2 per cell]

# 10
VASP calculation (GGA-PBE) on a relaxed ScInCu2 crystal.

Summary:
Total moment ... 0.0 μB per formula unit
V ... 17.2 A^3/atom
DOS(E_F) ... 0.61 states/eV/atom
Calculated density ... 6.9 Mg/m³
Energy relative to the elements ... -142 meV/atom

Cell lengths 3.1461, 3.1461, 6.9510 Å; angles 90.00, 90.00, 90.00 degrees
Space group P4mm (No. 99)
Unique sites:
Sc 0.0000 0.0000 0.0000 [1 per cell]
In 0.5000 0.5000 0.6713 [1 per cell]
Cu 0.0000 0.0000 0.4229 [1 per cell]
Cu 0.5000 0.5000 0.2417 [1 per cell]

# 11
VASP calculation (GGA-PBE) on a relaxed Sn5Pt2Rh2 crystal.

Summary:
Total moment ... 0.0 μB per formula unit
V ... 20.8 A^3/atom
DOS(E_F) ... 0.43 states/eV/atom
Calculated density ... 10.6 Mg/m³
Energy relative to the elements ... -400 meV/atom

Cell lengths 15.6165, 7.0056, 6.8310 Å; angles 90.00, 90.00, 90.00 degrees
Space group Ima2 (No. 46)
Unique sites:
Sn 0.0681 0.1709 0.0000 [8 per cell]
Sn 0.1549 0.6747 0.8339 [8 per cell]
Sn 0.2500 0.1384 0.6530 [4 per cell]
Pt 0.0000 0.0000 0.3154 [4 per cell]
Pt 0.2500 0.5051 0.5243 [4 per cell]
Rh 0.0926 0.5101 0.1691 [8 per cell]

# 12
VASP calculation (GGA-PBE) on a relaxed Hf2UAl crystal.

Summary:
Total moment ... 1.5 μB per formula unit
Offset from the most stable computed form ... 439.2 meV/atom
V ... 22.2 A^3/atom
DOS(E_F) ... 1.97 states/eV/atom
Calculated density ... 11.7 Mg/m³
Energy relative to the elements ... 404 meV/atom

Cell lengths 3.0085, 3.0085, 33.9309 Å; angles 90.00, 90.00, 120.00 degrees
Space group R-3m (No. 166, hexagonal axes)
Unique sites:
Hf 0.0000 0.0000 0.0835 [6 per cell]
U 0.0000 0.0000 0.5000 [3 per cell]
Al 0.0000 0.0000 0.0000 [3 per cell]

# 13
VASP calculation (GGA-PBE) on a relaxed LaY crystal.

Summary:
Total moment ... 0.0 μB per formula unit
Offset from the most stable computed form ... 22.7 meV/atom
V ... 34.6 A^3/atom
DOS(E_F) ... 1.76 states/eV/atom
Calculated density ... 5.5 Mg/m³
Energy relative to the elements ... 27 meV/atom

Cell lengths 3.6706, 3.6706, 10.2867 Å; angles 90.00, 90.00, 90.00 degrees
Space group P4/nmm (No. 129, origin choice 2)
Unique sites:
La 0.2500 0.2500 0.1252 [2 per cell]
Y 0.2500 0.2500 0.6180 [2 per cell]

# 14
VASP calculation (GGA-PBE) on a relaxed NdSmTe2 crystal.

Summary:
Total moment ... 0.0 μB per formula unit
Offset from the most stable computed form ... 0.0 meV/atom
V ... 31.8 A^3/atom
DOS(E_F) ... 0.37 states/eV/atom
Calculated density ... 7.2 Mg/m³

Cell lengths 4.3412, 4.3412, 23.3615 Å; angles 90.00, 90.00, 120.00 degrees
Space group R3m (No. 160, hexagonal axes)
Unique sites:
Nd 0.0000 0.0000 0.0000 [3 per cell]
Sm 0.0000 0.0000 0.1750 [3 per cell]
Te 0.0000 0.0000 0.5855 [3 per cell]
Te 0.0000 0.0000 0.7561 [3 per cell]

# 15
VASP calculation (GGA-PBE) on a relaxed Nb2NiBr crystal.

Summary:
Total moment ... 0.0 μB per formula unit
Offset from the most stable computed form ... 394.8 meV/atom
V ... 22.8 A^3/atom
DOS(E_F) ... 0.63 states/eV/atom
Calculated density ... 5.9 Mg/m³

Cell lengths 5.5807, 5.5807, 11.6984 Å; angles 90.00, 90.00, 90.00 degrees
Space group I-42d (No. 122)
Unique sites:
Nb 0.2037 0.2500 0.1250 [8 per cell]
Ni 0.0000 0.0000 0.0000 [4 per cell]
Br 0.0000 0.0000 0.5000 [4 per cell]

# 16
VASP calculation (GGA-PBE) on a relaxed LaNiTeI2 crystal.

Summary:
Electronic total energy ... -3.930 eV per atom
Total moment ... 0.0 μB per formula unit
V ... 29.0 A^3/atom
DOS(E_F) ... 1.02 states/eV/atom
Calculated density ... 6.6 Mg/m³

Cell lengths 5.1790, 5.1790, 5.4035 Å; angles 90.00, 90.00, 90.00 degrees
Space group P4/mmm (No. 123)
Unique sites:
La 0.0000 0.0000 0.0000 [1 per cell]
Ni 0.5000 0.5000 0.5000 [1 per cell]
Te 0.5000 0.5000 0.0000 [1 per cell]
I 0.0000 0.5000 0.5000 [2 per cell]

# 17
VASP calculation (GGA-PBE) on a relaxed ZnMo2As crystal.

Summary:
Total moment ... 0.0 μB per formula unit
Offset from the most stable computed form ... 177.5 meV/atom
V ... 15.8 A^3/atom
DOS(E_F) ... 0.67 states/eV/atom
Calculated density ... 8.7 Mg/m³
Energy relative to the elements ... 206 meV/atom

Cell lengths 2.9529, 2.9529, 25.0570 Å; angles 90.00, 90.00, 120.00 degrees
Space group R-3m (No. 166, hexagonal axes)
Unique sites:
Zn 0.0000 0.0000 0.0000 [3 per cell]
Mo 0.0000 0.0000 0.2457 [6 per cell]
As 0.0000 0.0000 0.5000 [3 per cell]

# 18
VASP calculation (GGA-PBE) on a relaxed Ti7In5 crystal.

Summary:
Total moment ... 0.0 μB per formula unit
V ... 19.2 A^3/atom
DOS(E_F) ... 1.23 states/eV/atom
Calculated density ... 6.6 Mg/m³
Energy relative to the elements ... -60 meV/atom

Cell lengths 13.1121, 3.9977, 9.8818 Å; angles 90.00, 117.14, 90.00 degrees
Space group C2/m (No. 12)
Unique sites:
Ti 0.0000 0.0000 0.0000 [2 per cell]
Ti 0.0762 0.0000 0.7391 [4 per cell]
Ti 0.0829 0.5000 0.2472 [4 per cell]
Ti 0.1623 0.0000 0.4863 [4 per cell]
In 0.0000 0.5000 0.5000 [2 per cell]
In 0.1570 0.5000 0.9879 [4 per cell]
In 0.2504 0.0000 0.2650 [4 per cell]

# 19
VASP calculation (GGA-PBE) on a relaxed LaSnAs3 crystal.

Summary:
Total moment ... 0.0 μB per formula unit
Offset from the most stable computed form ... 471.1 meV/atom
V ... 34.9 A^3/atom
DOS(E_F) ... 1.81 states/eV/atom
Calculated density ... 4.6 Mg/m³
Energy relative to the elements ... 502 meV/atom

Cell lengths 5.5860, 5.5860, 5.5860 Å; angles 90.00, 90.00, 90.00 degrees
Space group Pm-3m (No. 221)
Unique sites:
La 0.0000 0.0000 0.0000 [1 per cell]
Sn 0.5000 0.5000 0.5000 [1 per cell]
As 0.0000 0.0000 0.5000 [3 per cell]

# 20
VASP calculation (GGA-PBE) on a relaxed Fe2Co crystal.

Summary:
Total moment ... 6.8 μB per formula unit
V ... 11.5 A^3/atom
DOS(E_F) ... 0.56 states/eV/atom
Calculated density ... 8.2 Mg/m³
Energy relative to the elements ... -21 meV/atom

Cell lengths 2.4695, 4.0164, 6.9537 Å; angles 90.00, 90.13, 90.00 degrees
Space group P2/m (No. 10)
Unique sites:
Fe 0.0000 0.0000 0.0000 [1 per cell]
Fe 0.0000 0.5000 0.5000 [1 per cell]
Fe 0.3378 0.0000 0.6677 [2 per cell]
Co 0.3275 0.5000 0.1663 [2 per cell]

# 21
VASP calculation (GGA-PBE) on a relaxed Pr2Sm7Er3 crystal.

Summary:
Total moment ... 0.0 μB per formula unit
Offset from the most stable computed form ... 46.7 meV/atom
V ... 33.7 A^3/atom
DOS(E_F) ... 1.58 states/eV/atom
Calculated density ... 7.5 Mg/m³
Energy relative to the elements ... 115 meV/atom

Cell lengths 5.7823, 38.3204, 3.6485 Å; angles 90.00, 90.00, 90.00 degrees
Space group Cmmm (No. 65)
Unique sites:
Pr 0.0000 0.1482 0.0000 [4 per cell]
Sm 0.0000 0.0000 0.0000 [2 per cell]
Sm 0.0000 0.0711 0.5000 [4 per cell]
Sm 0.0000 0.2312 0.0000 [4 per cell]
Sm 0.0000 0.4100 0.0000 [4 per cell]
Er 0.0000 0.3142 0.5000 [4 per cell]
Er 0.0000 0.5000 0.5000 [2 per cell]

# 22
VASP calculation (GGA-PBE) on a relaxed Cs2SrTiCl6 crystal.

Summary:
Electronic total energy ... -4.188 eV per atom
Total moment ... 2.0 μB per formula unit
V ... 31.7 A^3/atom
DOS(E_F) ... 1.75 states/eV/atom
Calculated density ... 3.2 Mg/m³

Cell lengths 10.8180, 10.8180, 10.8180 Å; angles 90.00, 90.00, 90.00 degrees
Space group Fm-3m (No. 225)
Unique sites:
Cs 0.2500 0.2500 0.2500 [8 per cell]
Sr 0.0000 0.0000 0.0000 [4 per cell]
Ti 0.0000 0.0000 0.5000 [4 per cell]
Cl 0.0000 0.0000 0.2648 [24 per cell]

# 23
VASP calculation (GGA-PBE) on a relaxed Zr4GeSb crystal.

Summary:
Total moment ... 0.0 μB per formula unit
Offset from the most stable computed form ... 0.0 meV/atom
V ... 21.6 A^3/atom
DOS(E_F) ... 0.41 states/eV/atom
Calculated density ... 7.2 Mg/m³

Cell lengths 6.7541, 6.7541, 5.6852 Å; angles 90.00, 90.00, 90.00 degrees
Space group P4/mcc (No. 124)
Unique sites:
Zr 0.1452 0.3361 0.0000 [8 per cell]
Ge 0.0000 0.0000 0.2500 [2 per cell]
Sb 0.5000 0.5000 0.2500 [2 per cell]

# 24
VASP calculation (GGA-PBE) on a relaxed TcPtW2 crystal.

Summary:
Total moment ... 0.0 μB per formula unit
Offset from the most stable computed form ... 173.6 meV/atom
V ... 15.7 A^3/atom
DOS(E_F) ... 0.78 states/eV/atom
Calculated density ... 17.5 Mg/m³
Energy relative to the elements ... 41 meV/atom

Cell lengths 3.3418, 4.2902, 8.7408 Å; angles 90.00, 90.00, 90.00 degrees
Space group Cmm2 (No. 35)
Unique sites:
Tc 0.0000 0.0000 0.0000 [2 per cell]
Pt 0.0000 0.5000 0.7479 [2 per cell]
W 0.0000 0.0000 0.5012 [2 per cell]
W 0.0000 0.5000 0.2450 [2 per cell]